Record 1
# GdHoThIn (GGA-PBE, optimized geometry)
data_GdHoThIn
_chemical_formula_sum 'Gd4 Ho4 Th4 In4'
_symmetry_space_group_name_H-M 'F -4 3 m'
_symmetry_Int_Tables_number 216
_symmetry_space_group_name_Hall 'F -4 2 3'
_cell_length_a 7.7442
_cell_length_b 7.7442
_cell_length_c 7.7442
_cell_angle_alpha 90.00
_cell_angle_beta 90.00
_cell_angle_gamma 90.00
loop_
_atom_site_label
_atom_site_type_symbol
_atom_site_fract_x
_atom_site_fract_y
_atom_site_fract_z
Gd1 Gd 0.0000 0.0000 0.0000
Ho1 Ho 0.0000 0.0000 0.5000
Th1 Th 0.2500 0.2500 0.2500
In1 In 0.2500 0.2500 0.7500
# uncorrected energy	-7.24	eV per atom
# total magnetic moment	8.2	μB per formula unit
# energy relative to the elements	-33	meV per atom

Record 2
# SrTh2Sb3 (GGA-PBE, optimized geometry)
data_SrTh2Sb3
_chemical_formula_sum 'Sr4 Th8 Sb12'
_symmetry_space_group_name_H-M 'C 1 2/c 1'
_symmetry_Int_Tables_number 15
_symmetry_space_group_name_Hall '-C 2yc'
_cell_length_a 14.5168
_cell_length_b 6.4540
_cell_length_c 9.1358
_cell_angle_alpha 90.00
_cell_angle_beta 108.33
_cell_angle_gamma 90.00
loop_
_atom_site_label
_atom_site_type_symbol
_atom_site_fract_x
_atom_site_fract_y
_atom_site_fract_z
Sr1 Sr 0.0000 0.9996 0.2500
Th1 Th 0.1642 0.4998 0.0821
Sb1 Sb 0.0000 0.4996 0.2500
Sb2 Sb 0.1745 0.9998 0.0872
# uncorrected energy	-5.79	eV per atom
# E_form (uncorrected)	-0.9758	eV per atom
# total magnetic moment	0.0	μB per formula unit